1.
Here is a geometry-optimized Pm6PrNd4 structure from Alexandria via LeMat-Bulk. Energies are from PBE.

a b c (Å): 9.922 9.922 9.922
angles (deg): 57.40 140.30 140.30
Fractional coordinates of all 11 atoms:
Pm: 0.000 0.803 0.449
Pm: 0.000 0.449 0.803
Pm: 0.355 0.551 0.551
Pm: 0.500 0.500 0.000
Pm: 0.645 0.197 0.197
Pm: 0.500 0.000 0.500
Pr: 0.000 0.000 0.000
Nd: 0.000 0.632 0.011
Nd: 0.380 0.368 0.368
Nd: 0.000 0.011 0.632
Nd: 0.620 0.989 0.989

Properties
- Crystal system: tetragonal
- VASP energy: -0.32875 Ry per atom
- DFT formation energy: 0.287 eV per atom
- D(E_F): 17.45 states/eV per cell

=====

2.
Here is a geometry-optimized PmPrNd5 structure from Alexandria via LeMat-Bulk. Energies are from PBE.

a b c (Å): 5.919 8.070 8.070
angles (deg): 66.92 68.49 68.49
Fractional coordinates of all 7 atoms:
Pm: 0.000 0.000 0.000
Pr: 0.500 0.500 0.500
Nd: 0.500 0.178 0.822
Nd: 0.500 0.822 0.178
Nd: 0.751 0.249 0.249
Nd: 0.249 0.751 0.751
Nd: 0.000 0.500 0.500

Properties
- Crystal system: orthorhombic
- VASP energy: -0.28080 Ry per atom
- DFT formation energy: 0.947 eV per atom
- D(E_F): 13.06 states/eV per cell

=====

3.
Here is a geometry-optimized Pm2Pr6Nd structure from Alexandria via LeMat-Bulk. Energies are from PBE.

a b c (Å): 3.533 10.433 10.433
angles (deg): 60.00 80.24 80.24
Fractional coordinates of all 9 atoms:
Pm: 0.332 0.667 0.667
Pm: 0.668 0.333 0.333
Pr: 0.832 0.355 0.979
Pr: 0.168 0.021 0.645
Pr: 0.168 0.645 0.021
Pr: 0.500 0.313 0.687
Pr: 0.832 0.979 0.355
Pr: 0.500 0.687 0.313
Nd: 0.000 0.000 0.000

Properties
- Crystal system: orthorhombic
- VASP energy: -0.33879 Ry per atom
- DFT formation energy: 0.162 eV per atom
- D(E_F): 17.18 states/eV per cell